# 1
Material: LuCuReSn
Method: DFT, PBE
State: relaxed

Lattice parameters (Å, degrees): 5.314 5.314 5.314 60.00 60.00 60.00
Positions (direct):
Sn (0.000, 0.000, 0.000)
Re (0.250, 0.250, 0.250)
Lu (0.500, 0.500, 0.500)
Cu (0.750, 0.750, 0.750)

Calculated values
Crystal system = cubic
DFT total energy = -5.315 eV/atom
Energy relative to the lowest polymorph listed for this composition = 372 meV per atom
Symmetry = F-43m
Theoretical density = 8502 kg/m3


# 2
Material: PrNdAlOs2
Method: DFT, PBE
State: relaxed

Lattice parameters (Å, degrees): 5.820 5.820 5.820 136.84 122.27 74.73
Positions (direct):
Nd (0.703, 0.203, 0.500)
Os (0.721, 0.500, 0.221)
Os (0.279, 0.500, 0.779)
Pr (0.296, 0.796, 0.500)
Al (0.000, 0.000, 0.000)

Calculated values
Crystal system = orthorhombic
DFT total energy = -7.390 eV/atom
Symmetry = Imm2
Theoretical density = 10335 kg/m3


# 3
Material: LiHfIr2
Method: DFT, PBE
State: relaxed

Lattice parameters (Å, degrees): 4.435 4.435 8.061 90.00 90.00 120.00
Positions (direct):
Ir (0.333, 0.667, 0.902)
Ir (0.667, 0.333, 0.402)
Ir (0.333, 0.667, 0.598)
Ir (0.667, 0.333, 0.098)
Li (0.667, 0.333, 0.750)
Li (0.333, 0.667, 0.250)
Hf (0.000, 0.000, 0.500)
Hf (0.000, 0.000, 0.000)

Calculated values
Crystal system = hexagonal
DFT total energy = -7.762 eV/atom
Energy relative to the lowest polymorph listed for this composition = 312 meV per atom
Symmetry = P6_3/mmc
Theoretical density = 13783 kg/m3


# 4
Material: DyHoZn2Si2
Method: DFT, PBE
State: relaxed

Lattice parameters (Å, degrees): 4.139 4.139 15.675 90.00 90.00 120.00
Positions (direct):
Si (0.333, 0.667, 0.382)
Si (0.333, 0.667, 0.118)
Si (0.667, 0.333, 0.618)
Si (0.667, 0.333, 0.882)
Zn (0.667, 0.333, 0.138)
Zn (0.333, 0.667, 0.638)
Zn (0.333, 0.667, 0.862)
Zn (0.667, 0.333, 0.362)
Ho (0.000, 0.000, 0.250)
Ho (0.000, 0.000, 0.750)
Dy (0.000, 0.000, 0.500)
Dy (0.000, 0.000, 0.000)

Calculated values
Crystal system = hexagonal
DFT total energy = -4.392 eV/atom
Symmetry = P6_3/mmc
Theoretical density = 7347 kg/m3